Version A
A plane-wave DFT calculation with GGA-PBE was carried out for an optimized crystal structure of PrMg3Pd.

```
PrMg3Pd
1.0
4.3293 -6.3201 0.0000
4.3293 6.3201 0.0000
0.0000 0.0000 4.2987
Pr Mg Pd
2 6 2
direct
0.2104 0.7896 0.0000
0.7896 0.2104 0.0000
0.0000 0.0000 0.5000
0.1793 0.4297 0.5000
0.4297 0.1793 0.5000
0.5000 0.5000 0.0000
0.5703 0.8207 0.5000
0.8207 0.5703 0.5000
0.1915 0.1915 0.0000
0.8085 0.8085 0.0000
```

Properties
* SG: Cmmm (65)
* calculated volume: 23.52 A^3/atom



Version B
A plane-wave DFT calculation with GGA-PBE was carried out for an optimized crystal structure of PrMg3Pd.

```
PrMg3Pd
1.0
9.3082 0.0000 0.0000
0.0000 4.2250 0.0000
0.0000 0.0000 12.1108
Pr Mg Pd
4 12 4
direct
0.1784 0.2500 0.0088
0.3216 0.7500 0.5088
0.6784 0.2500 0.4912
0.8216 0.7500 0.9912
0.0473 0.2500 0.4178
0.0971 0.7500 0.2306
0.1530 0.7500 0.7832
0.3470 0.2500 0.2832
0.4029 0.2500 0.7306
0.4527 0.7500 0.9178
0.5473 0.2500 0.0822
0.5971 0.7500 0.2694
0.6530 0.7500 0.7168
0.8470 0.2500 0.2168
0.9029 0.2500 0.7694
0.9527 0.7500 0.5822
0.1382 0.2500 0.6341
0.3618 0.7500 0.1341
0.6382 0.2500 0.8659
0.8618 0.7500 0.3659
```

Properties
* SG: Pnma (62)
* calculated volume: 23.81 A^3/atom



Stability verdict: version A, ahead by 23 meV per atom



Version A
A plane-wave DFT calculation with GGA-PBE was carried out for an optimized crystal structure of Pr3Mg5Pd2.

```
Pr3Mg5Pd2
1.0
-6.1071 6.5438 3.2461
6.1071 -6.5438 3.2461
6.1071 6.5438 -3.2461
Pr Mg Pd
6 10 4
direct
0.1567 0.2447 0.4014
0.2500 0.2500 0.0000
0.3433 0.7447 0.0880
0.6567 0.2553 0.9120
0.7500 0.7500 0.0000
0.8433 0.7553 0.5986
0.0170 0.7500 0.2670
0.0900 0.6735 0.7635
0.2500 0.7500 0.5000
0.4100 0.1735 0.5835
0.4830 0.7500 0.7330
0.5170 0.2500 0.2670
0.5900 0.8265 0.4165
0.7500 0.2500 0.5000
0.9100 0.3265 0.2365
0.9830 0.2500 0.7330
0.1510 0.8731 0.0240
0.3490 0.3731 0.7221
0.6510 0.6269 0.2779
0.8490 0.1269 0.9760
```

Properties
* SG: Ibam (72)
* calculated volume: 25.94 A^3/atom



Version B
A plane-wave DFT calculation with GGA-PBE was carried out for an optimized crystal structure of Pr3Mg5Pd2.

```
Pr3Mg5Pd2
1.0
10.6696 0.0000 0.0000
0.0000 10.6696 0.0000
0.0000 0.0000 4.3514
Pr Mg Pd
6 10 4
direct
0.0000 0.0000 0.0000
0.1785 0.3215 0.0000
0.3215 0.8215 0.0000
0.5000 0.5000 0.0000
0.6785 0.1785 0.0000
0.8215 0.6785 0.0000
0.0000 0.5000 0.5000
0.0660 0.7754 0.5000
0.2246 0.0660 0.5000
0.2754 0.5660 0.5000
0.4340 0.2754 0.5000
0.5000 0.0000 0.5000
0.5660 0.7246 0.5000
0.7246 0.4340 0.5000
0.7754 0.9340 0.5000
0.9340 0.2246 0.5000
0.1163 0.6163 0.0000
0.3837 0.1163 0.0000
0.6163 0.8837 0.0000
0.8837 0.3837 0.0000
```

Properties
* SG: P4/mbm (127)
* calculated volume: 24.77 A^3/atom



Stability verdict: version B, ahead by 113 meV per atom



Version A
A plane-wave DFT calculation with GGA-PBE was carried out for an optimized crystal structure of Pr4MgPd.

```
Pr4MgPd
1.0
0.0000 7.1905 7.1905
7.1905 0.0000 7.1905
7.1905 7.1905 0.0000
Pr Mg Pd
16 4 4
direct
0.1848 0.1848 0.8152
0.1848 0.8152 0.1848
0.1848 0.8152 0.8152
0.4007 0.4007 0.4007
0.4007 0.4007 0.7979
0.4007 0.7979 0.4007
0.5579 0.5579 0.9421
0.5579 0.9421 0.5579
0.5579 0.9421 0.9421
0.7979 0.4007 0.4007
0.8152 0.1848 0.1848
0.8152 0.1848 0.8152
0.8152 0.8152 0.1848
0.9421 0.5579 0.5579
0.9421 0.5579 0.9421
0.9421 0.9421 0.5579
0.1710 0.1710 0.1710
0.1710 0.1710 0.4871
0.1710 0.4871 0.1710
0.4871 0.1710 0.1710
0.1802 0.6066 0.6066
0.6066 0.1802 0.6066
0.6066 0.6066 0.1802
0.6066 0.6066 0.6066
```

Properties
* SG: F-43m (216)
* calculated volume: 30.98 A^3/atom



Version B
A plane-wave DFT calculation with GGA-PBE was carried out for an optimized crystal structure of Pr4MgPd.

```
Pr4MgPd
1.0
4.5813 -7.0249 0.0000
4.5813 7.0249 0.0000
-2.0230 0.0000 5.7403
Pr Mg Pd
8 2 2
direct
0.0756 0.7028 0.9349
0.1963 0.3619 0.6342
0.2972 0.9244 0.5651
0.3619 0.1963 0.1342
0.6381 0.8037 0.8658
0.7028 0.0756 0.4349
0.8037 0.6381 0.3658
0.9244 0.2972 0.0651
0.3857 0.6143 0.2500
0.6143 0.3857 0.7500
0.0018 0.9982 0.2500
0.9982 0.0018 0.7500
```

Properties
* SG: C2/c (15)
* calculated volume: 30.79 A^3/atom



Stability verdict: version A, ahead by 108 meV per atom



Version A
A plane-wave DFT calculation with GGA-PBE was carried out for an optimized crystal structure of PrMg2Pd2.

```
PrMg2Pd2
1.0
-2.0788 2.0788 6.2114
2.0788 -2.0788 6.2114
2.0788 2.0788 -6.2114
Pr Mg Pd
1 2 2
direct
0.0000 0.0000 0.0000
0.2500 0.7500 0.5000
0.7500 0.2500 0.5000
0.3902 0.3902 0.0000
0.6098 0.6098 0.0000
```

Properties
* SG: I4/mmm (139)
* calculated volume: 21.47 A^3/atom



Version B
A plane-wave DFT calculation with GGA-PBE was carried out for an optimized crystal structure of PrMg2Pd2.

```
PrMg2Pd2
1.0
5.1350 0.0000 0.0000
0.0000 4.8321 0.0000
-1.4560 0.0000 8.6804
Pr Mg Pd
2 4 4
direct
0.1806 0.2500 0.2790
0.8194 0.7500 0.7210
0.2844 0.2500 0.6557
0.3509 0.7500 0.9898
0.6491 0.2500 0.0102
0.7156 0.7500 0.3443
0.1170 0.2500 0.9254
0.2795 0.7500 0.4989
0.7205 0.2500 0.5011
0.8830 0.7500 0.0746
```

Properties
* SG: P2_1/m (11)
* calculated volume: 21.54 A^3/atom



Stability verdict: version A, ahead by 25 meV per atom



Version A
A plane-wave DFT calculation with GGA-PBE was carried out for an optimized crystal structure of Mg2PdPt.

```
Mg2PdPt
1.0
0.0000 3.1722 3.1722
3.1722 0.0000 3.1722
3.1722 3.1722 0.0000
Mg Pd Pt
2 1 1
direct
0.2500 0.2500 0.2500
0.7500 0.7500 0.7500
0.0000 0.0000 0.0000
0.5000 0.5000 0.5000
```

Properties
* SG: Fm-3m (225)
* calculated volume: 15.96 A^3/atom



Version B
A plane-wave DFT calculation with GGA-PBE was carried out for an optimized crystal structure of Mg2PdPt.

```
Mg2PdPt
1.0
-3.5211 3.5211 2.8624
3.5211 -3.5211 2.8624
3.5211 3.5211 -2.8624
Mg Pd Pt
4 2 2
direct
0.1245 0.6250 0.9995
0.3750 0.3745 0.4995
0.6255 0.1250 0.0005
0.8750 0.8755 0.5005
0.0000 0.0000 0.0000
0.7500 0.2500 0.5000
0.2500 0.7500 0.5000
0.5000 0.5000 0.0000
```

Properties
* SG: I-42d (122)
* calculated volume: 17.74 A^3/atom



Stability verdict: version A, ahead by 414 meV per atom



Version A
A plane-wave DFT calculation with GGA-PBE was carried out for an optimized crystal structure of Mg2Pd8Pt3.

```
Mg2Pd8Pt3
1.0
6.3964 -3.6228 0.0000
6.3964 3.6228 0.0000
-0.4572 0.0000 4.6415
Mg Pd Pt
2 8 3
direct
0.1557 0.1557 0.2644
0.8443 0.8443 0.7356
0.0554 0.0554 0.7573
0.1198 0.5322 0.3120
0.3104 0.3104 0.8034
0.4678 0.8802 0.6880
0.5322 0.1198 0.3120
0.6896 0.6896 0.1966
0.8802 0.4678 0.6880
0.9446 0.9446 0.2427
0.3154 0.6846 0.0000
0.5000 0.5000 0.5000
0.6846 0.3154 0.0000
```

Properties
* SG: C2/m (12)
* calculated volume: 16.55 A^3/atom



Version B
A plane-wave DFT calculation with GGA-PBE was carried out for an optimized crystal structure of Mg2Pd8Pt3.

```
Mg2Pd8Pt3
1.0
4.8215 0.0000 0.0000
-1.6358 6.0773 0.0000
-2.3157 -1.2617 6.8907
Mg Pd Pt
2 8 3
direct
0.1531 0.3079 0.2689
0.8469 0.6921 0.7311
0.0819 0.1582 0.8879
0.2310 0.4603 0.6522
0.3085 0.6173 0.0403
0.4632 0.9225 0.8074
0.5368 0.0775 0.1926
0.6915 0.3827 0.9597
0.7690 0.5397 0.3478
0.9181 0.8418 0.1121
0.0000 0.0000 0.5000
0.3838 0.7723 0.4232
0.6162 0.2277 0.5768
```

Properties
* SG: P-1 (2)
* calculated volume: 15.53 A^3/atom



Stability verdict: version B, ahead by 187 meV per atom



Version A
A plane-wave DFT calculation with GGA-PBE was carried out for an optimized crystal structure of MgPd4Pt.

```
MgPd4Pt
1.0
1.9750 -5.8948 0.0000
1.9750 5.8948 0.0000
0.0000 0.0000 3.9897
Mg Pd Pt
1 4 1
direct
0.0000 0.0000 0.0000
0.1666 0.8334 0.5000
0.3355 0.6645 0.0000
0.6645 0.3355 0.0000
0.8334 0.1666 0.5000
0.5000 0.5000 0.5000
```

Properties
* SG: Cmmm (65)
* calculated volume: 15.48 A^3/atom



Version B
A plane-wave DFT calculation with GGA-PBE was carried out for an optimized crystal structure of MgPd4Pt.

```
MgPd4Pt
1.0
2.3123 -8.5018 0.0000
2.3123 8.5018 0.0000
0.0000 0.0000 5.3779
Mg Pd Pt
2 8 2
direct
0.1010 0.8990 0.5000
0.8990 0.1010 0.0000
0.1307 0.8693 0.9989
0.2828 0.7172 0.5012
0.2912 0.7088 0.0010
0.4272 0.5728 0.7457
0.5728 0.4272 0.2457
0.7088 0.2912 0.5010
0.7172 0.2828 0.0012
0.8693 0.1307 0.4989
0.4239 0.5761 0.2558
0.5761 0.4239 0.7558
```

Properties
* SG: Cmc2_1 (36)
* calculated volume: 17.62 A^3/atom



Stability verdict: version A, ahead by 286 meV per atom



Version A
A plane-wave DFT calculation with GGA-PBE was carried out for an optimized crystal structure of Mg2PdPt2.

```
Mg2PdPt2
1.0
7.4615 0.0000 0.0000
0.0000 7.4615 0.0000
0.0000 0.0000 2.9948
Mg Pd Pt
4 2 4
direct
0.1655 0.3345 0.0000
0.3345 0.8345 0.0000
0.6655 0.1655 0.0000
0.8345 0.6655 0.0000
0.0000 0.0000 0.5000
0.5000 0.5000 0.5000
0.1337 0.6337 0.5000
0.3663 0.1337 0.5000
0.6337 0.8663 0.5000
0.8663 0.3663 0.5000
```

Properties
* SG: P4/mbm (127)
* calculated volume: 16.67 A^3/atom



Version B
A plane-wave DFT calculation with GGA-PBE was carried out for an optimized crystal structure of Mg2PdPt2.

```
Mg2PdPt2
1.0
7.5516 0.0000 0.0000
0.0000 7.5516 0.0000
0.0000 0.0000 2.8903
Mg Pd Pt
4 2 4
direct
0.1496 0.3504 0.0000
0.3504 0.8504 0.0000
0.6496 0.1496 0.0000
0.8504 0.6496 0.0000
0.0000 0.0000 0.0000
0.5000 0.5000 0.0000
0.1481 0.6481 0.5000
0.3519 0.1481 0.5000
0.6481 0.8519 0.5000
0.8519 0.3519 0.5000
```

Properties
* SG: P4/mbm (127)
* calculated volume: 16.48 A^3/atom



Stability verdict: version A, ahead by 45 meV per atom



Version A
A plane-wave DFT calculation with GGA-PBE was carried out for an optimized crystal structure of Mg2Pd5Pt2.

```
Mg2Pd5Pt2
1.0
4.7645 0.0000 0.0000
1.5482 4.5387 0.0000
0.8053 2.2277 6.9772
Mg Pd Pt
2 5 2
direct
0.0005 0.1931 0.1140
0.9995 0.8069 0.8860
0.0000 0.0000 0.5000
0.0030 0.3997 0.6985
0.4994 0.1004 0.3043
0.5006 0.8996 0.6957
0.9970 0.6003 0.3015
0.4990 0.7015 0.0984
0.5010 0.2985 0.9016
```

Properties
* SG: P-1 (2)
* calculated volume: 16.76 A^3/atom



Version B
A plane-wave DFT calculation with GGA-PBE was carried out for an optimized crystal structure of Mg2Pd5Pt2.

```
Mg2Pd5Pt2
1.0
4.4785 0.0000 0.0000
-2.2392 3.8785 0.0000
0.0000 0.0000 8.2227
Mg Pd Pt
2 5 2
direct
0.0000 0.0000 0.1793
0.0000 0.0000 0.8207
0.0000 0.0000 0.5000
0.3333 0.6667 0.3341
0.3333 0.6667 0.6659
0.6667 0.3333 0.1643
0.6667 0.3333 0.8357
0.3333 0.6667 0.0000
0.6667 0.3333 0.5000
```

Properties
* SG: P-6m2 (187)
* calculated volume: 15.86 A^3/atom



Stability verdict: version B, ahead by 89 meV per atom



Version A
A plane-wave DFT calculation with GGA-PBE was carried out for an optimized crystal structure of MgPd3Pt.

```
MgPd3Pt
1.0
4.7083 0.0000 0.0000
0.0000 9.0393 0.0000
-2.3498 0.0000 4.1014
Mg Pd Pt
2 6 2
direct
0.1825 0.2500 0.1562
0.8175 0.7500 0.8438
0.1640 0.9999 0.8266
0.1640 0.5001 0.8266
0.4814 0.7500 0.1785
0.5186 0.2500 0.8215
0.8360 0.0001 0.1734
0.8360 0.4999 0.1734
0.5000 0.0000 0.5000
0.5000 0.5000 0.5000
```

Properties
* SG: P2_1/m (11)
* calculated volume: 17.46 A^3/atom



Version B
A plane-wave DFT calculation with GGA-PBE was carried out for an optimized crystal structure of MgPd3Pt.

```
MgPd3Pt
1.0
4.8984 0.0000 0.0000
0.0000 4.8984 0.0000
0.0000 0.0000 4.8984
Mg Pd Pt
1 3 1
direct
0.0000 0.0000 0.0000
0.0000 0.5000 0.5000
0.5000 0.0000 0.5000
0.5000 0.5000 0.0000
0.5000 0.5000 0.5000
```

Properties
* SG: Pm-3m (221)
* calculated volume: 23.51 A^3/atom



Stability verdict: version A, ahead by 960 meV per atom